(1)
## Mn2Al3Fe4 (PBE)

Data for a geometry-optimized Mn2Al3Fe4 structure.

Lattice parameters (Å, degrees): 7.1709 7.1709 4.7388 98.37 98.37 103.51
Closest atoms and distances in Å follow each position.
Positions (direct):
1 Mn 0.0479 0.6672 0.6558  3 Fe 2.37-2.55, 2 Mn 2.48-2.51, 2 Al 2.49-2.54
2 Mn 0.3328 0.9521 0.8442  3 Fe 2.37-2.55, 2 Mn 2.48-2.51, 2 Al 2.49-2.54
3 Mn 0.6672 0.0479 0.1558  3 Fe 2.37-2.55, 2 Mn 2.48-2.51, 2 Al 2.49-2.54
4 Mn 0.9521 0.3328 0.3442  3 Fe 2.37-2.55, 2 Mn 2.48-2.51, 2 Al 2.49-2.54
5 Al 0.1766 0.4464 0.9450  6 Fe 2.46-2.58, 2 Mn 2.49-2.75
6 Al 0.1902 0.8098 0.2500  4 Mn 2.54-2.80, 4 Fe 2.61-2.81, 4 Al 2.76-2.77
7 Al 0.4464 0.1766 0.4450  6 Fe 2.46-2.58, 2 Mn 2.49-2.75
8 Al 0.5536 0.8234 0.5550  6 Fe 2.46-2.58, 2 Mn 2.49-2.75
9 Al 0.8098 0.1902 0.7500  4 Mn 2.54-2.80, 4 Fe 2.61-2.81, 4 Al 2.76-2.77
10 Al 0.8234 0.5536 0.0550  6 Fe 2.46-2.58, 2 Mn 2.49-2.75
11 Fe 0.1287 0.1332 0.1162  3 Fe 2.33-2.37, 2 Mn 2.37-2.54, 2 Al 2.46-2.49
12 Fe 0.1332 0.1287 0.6162  3 Fe 2.33-2.37, 2 Mn 2.37-2.54, 2 Al 2.46-2.49
13 Fe 0.3190 0.4833 0.4805  4 Fe 2.53-2.79, 4 Al 2.54-2.58, 2 Mn 2.55-2.75
14 Fe 0.4833 0.3190 0.9805  4 Fe 2.53-2.79, 4 Al 2.54-2.58, 2 Mn 2.55-2.75
15 Fe 0.5167 0.6810 0.0195  4 Fe 2.53-2.79, 4 Al 2.54-2.58, 2 Mn 2.55-2.75
16 Fe 0.6810 0.5167 0.5195  4 Fe 2.53-2.79, 4 Al 2.54-2.58, 2 Mn 2.55-2.75
17 Fe 0.8668 0.8713 0.3838  3 Fe 2.33-2.37, 2 Mn 2.37-2.54, 2 Al 2.46-2.49
18 Fe 0.8713 0.8668 0.8838  3 Fe 2.33-2.37, 2 Mn 2.37-2.54, 2 Al 2.46-2.49

Calculated values
* total magnetization: 12.76 μB per formula unit
* calculated volume: 115.1 Å³/f.u.
* E_tot: -7.06 eV/atom

=====

(2)
## MnAlFe2 (PBE)

Data for a geometry-optimized MnAlFe2 structure.

Lattice parameters (Å, degrees): 4.7059 4.7059 2.5245 98.82 98.82 115.83
Closest atoms and distances in Å follow each position.
Positions (direct):
1 Mn 0.0000 0.0000 0.0000  4 Fe 2.49, 2 Al 2.50, 2 Mn 2.52
2 Al 0.5000 0.5000 0.0000  4 Fe 2.49, 2 Mn 2.50, 2 Al 2.52
3 Fe 0.0000 0.5000 0.5000  2 Mn 2.49, 2 Al 2.49, 4 Fe 2.50-2.52
4 Fe 0.5000 0.0000 0.5000  2 Mn 2.49, 2 Al 2.49, 4 Fe 2.50-2.52

Calculated values
* total magnetization: 6.01 μB per formula unit
* calculated volume: 48.2 Å³/f.u.
* E_tot: -7.52 eV/atom

=====

(3)
## MnAlFe2 (PBE)

Data for a geometry-optimized MnAlFe2 structure.

Lattice parameters (Å, degrees): 8.3561 8.3561 8.3561 17.85 17.85 17.85
Closest atoms and distances in Å follow each position.
Positions (direct):
1 Mn 0.0000 0.0000 0.0000  3 Fe 2.44, 6 Mn 2.59, 3 Al 2.60
2 Al 0.7527 0.7527 0.7527  3 Fe 2.57, 6 Al 2.59, 3 Mn 2.60
3 Fe 0.2554 0.2554 0.2554  3 Mn 2.44, 9 Fe 2.57-2.59
4 Fe 0.5041 0.5041 0.5041  9 Fe 2.57-2.59, 3 Al 2.57

Calculated values
* total magnetization: 2.23 μB per formula unit
* calculated volume: 47.9 Å³/f.u.
* E_tot: -7.44 eV/atom